(1)
Density functional theory data (PBE) for an optimized crystal structure of TcBi.

Results
Magnetization in μB per formula unit: 0.0
DFT total energy in eV/atom: -6.744

Cell and atoms, written as CIF:
```
data_TcBi
_cell_length_a 4.0808
_cell_length_b 10.1527
_cell_length_c 4.1984
_cell_angle_alpha 90.00
_cell_angle_beta 90.00
_cell_angle_gamma 90.00
_symmetry_space_group_name_H-M 'C m c m'
_symmetry_Int_Tables_number 63
_symmetry_space_group_name_Hall '-C 2c 2'
loop_
_atom_site_label
_atom_site_type_symbol
_atom_site_fract_x
_atom_site_fract_y
_atom_site_fract_z
_atom_site_occupancy
Tc1 Tc 0.0000 0.0606 0.2500 1
Bi1 Bi 0.0000 0.3502 0.2500 1
```

(2)
Density functional theory data (PBE) for an optimized crystal structure of TcBi2Te.

Results
Magnetization in μB per formula unit: 0.2
DFT total energy in eV/atom: -4.738

Cell and atoms, written as CIF:
```
data_TcBi2Te
_cell_length_a 7.2802
_cell_length_b 7.2802
_cell_length_c 7.2802
_cell_angle_alpha 90.00
_cell_angle_beta 90.00
_cell_angle_gamma 90.00
_symmetry_space_group_name_H-M 'F -4 3 m'
_symmetry_Int_Tables_number 216
_symmetry_space_group_name_Hall 'F -4 2 3'
loop_
_atom_site_label
_atom_site_type_symbol
_atom_site_fract_x
_atom_site_fract_y
_atom_site_fract_z
_atom_site_occupancy
Tc1 Tc 0.0000 0.0000 0.0000 1
Bi1 Bi 0.0000 0.0000 0.5000 1
Bi2 Bi 0.2500 0.2500 0.7500 1
Te1 Te 0.2500 0.2500 0.2500 1
```

(3)
Density functional theory data (PBE) for an optimized crystal structure of TcBiTe2.

Results
Magnetization in μB per formula unit: 1.3
DFT total energy in eV/atom: -4.431

Cell and atoms, written as CIF:
```
data_TcBiTe2
_cell_length_a 7.2316
_cell_length_b 7.2316
_cell_length_c 7.2316
_cell_angle_alpha 90.00
_cell_angle_beta 90.00
_cell_angle_gamma 90.00
_symmetry_space_group_name_H-M 'F -4 3 m'
_symmetry_Int_Tables_number 216
_symmetry_space_group_name_Hall 'F -4 2 3'
loop_
_atom_site_label
_atom_site_type_symbol
_atom_site_fract_x
_atom_site_fract_y
_atom_site_fract_z
_atom_site_occupancy
Tc1 Tc 0.0000 0.0000 0.0000 1
Bi1 Bi 0.2500 0.2500 0.2500 1
Te1 Te 0.0000 0.0000 0.5000 1
Te2 Te 0.2500 0.2500 0.7500 1
```